DFT (GGA-PBE) results for a relaxed CsCoAgS3 crystal.

Summary:
calculated volume: 22.8 A^3/atom
energy above the lowest structure with this stoichiometry: 0.0 meV per atom
total DFT energy (no corrections): -4.22 eV/atom

Cell: 8.446 3.605 9.912 Å, 90.00 114.92 90.00°
Each line ends with the local moment (μB).
Positions (direct):
S: 0.626 0.250 0.112  -0.01
S: 0.283 0.250 0.115  0.02
S: 0.374 0.750 0.888  -0.01
S: 0.717 0.750 0.885  0.02
S: 0.334 0.250 0.605  0.06
S: 0.666 0.750 0.395  0.06
Ag: 0.438 0.250 0.385  0.02
Ag: 0.562 0.750 0.615  0.02
Cs: 0.018 0.750 0.269  0.00
Cs: 0.982 0.250 0.731  0.00
Co: 0.472 0.750 0.136  0.27
Co: 0.528 0.250 0.864  0.27


DFT (GGA-PBE) results for a relaxed CsCoAgS3 crystal.

Summary:
calculated volume: 23.3 A^3/atom
energy above the lowest structure with this stoichiometry: 133.3 meV per atom
total DFT energy (no corrections): -4.09 eV/atom

Cell: 8.135 8.135 9.906 Å, 90.00 90.00 25.27°
Each line ends with the local moment (μB).
Positions (direct):
S: 0.594 0.594 0.514  0.02
S: 0.944 0.944 0.750  0.04
S: 0.406 0.406 0.014  0.02
S: 0.056 0.056 0.250  0.04
S: 0.594 0.594 0.986  0.02
S: 0.406 0.406 0.486  0.02
Ag: 0.555 0.555 0.750  0.04
Ag: 0.445 0.445 0.250  0.04
Co: 0.000 0.000 0.500  0.62
Co: 0.000 0.000 0.000  0.63
Cs: 0.254 0.254 0.750  0.00
Cs: 0.746 0.746 0.250  0.00